Density functional theory data (GGA-PBE) for a geometry-optimized AcLaSbN structure.

a b c (Å): 4.857 4.857 9.730
angles (deg): 90.00 90.00 90.00
Atoms (fractional coordinates):
Ac 0.250 0.250 0.171
Ac 0.750 0.750 0.829
La 0.250 0.750 0.500
La 0.750 0.250 0.500
Sb 0.250 0.250 0.796
Sb 0.750 0.750 0.204
N 0.250 0.250 0.418
N 0.750 0.750 0.582

Properties
Crystal system: tetragonal


Density functional theory data (GGA-PBE) for a geometry-optimized Ac3La2Se3N2 structure.

a b c (Å): 13.249 13.249 13.249
angles (deg): 159.89 159.89 28.59
Atoms (fractional coordinates):
Ac 0.000 0.000 0.000
Ac 0.379 0.379 0.000
Ac 0.621 0.621 0.000
La 0.250 0.750 0.500
La 0.750 0.250 0.500
Se 0.133 0.133 0.000
Se 0.500 0.500 0.000
Se 0.867 0.867 0.000
N 0.284 0.284 0.000
N 0.716 0.716 0.000

Properties
Crystal system: tetragonal


Density functional theory data (GGA-PBE) for a geometry-optimized AcLa2SiN4 structure.

a b c (Å): 6.300 6.300 12.319
angles (deg): 90.00 90.00 146.51
Atoms (fractional coordinates):
Ac 0.090 0.910 0.750
Ac 0.910 0.090 0.250
La 0.367 0.633 0.545
La 0.367 0.633 0.955
La 0.633 0.367 0.045
La 0.633 0.367 0.455
Si 0.183 0.817 0.250
Si 0.817 0.183 0.750
N 0.000 0.000 0.000
N 0.000 0.000 0.500
N 0.272 0.728 0.137
N 0.272 0.728 0.363
N 0.397 0.603 0.750
N 0.603 0.397 0.250
N 0.728 0.272 0.637
N 0.728 0.272 0.863

Properties
Crystal system: orthorhombic


Density functional theory data (GGA-PBE) for a geometry-optimized Ac3La4SiN8 structure.

a b c (Å): 7.533 7.533 7.549
angles (deg): 119.73 119.73 59.84
Atoms (fractional coordinates):
Ac 0.000 0.000 0.000
Ac 0.000 0.500 0.000
Ac 0.500 0.000 0.000
La 0.000 0.000 0.500
La 0.000 0.500 0.500
La 0.500 0.000 0.500
La 0.500 0.500 0.500
Si 0.500 0.500 0.000
N 0.238 0.238 0.732
N 0.243 0.751 0.736
N 0.249 0.757 0.264
N 0.253 0.253 0.259
N 0.747 0.747 0.741
N 0.751 0.243 0.736
N 0.757 0.249 0.264
N 0.762 0.762 0.268

Properties
Crystal system: monoclinic


Density functional theory data (GGA-PBE) for a geometry-optimized AcLa2SmN4 structure.

a b c (Å): 6.498 3.752 6.515
angles (deg): 90.00 109.50 90.00
Atoms (fractional coordinates):
Ac 0.000 0.000 0.000
La 0.500 0.000 0.500
La 0.500 0.500 0.000
Sm 0.000 0.500 0.500
N 0.248 0.000 0.743
N 0.253 0.500 0.260
N 0.747 0.500 0.740
N 0.752 0.000 0.257

Properties
Crystal system: monoclinic


Density functional theory data (GGA-PBE) for a geometry-optimized Ac2La3SmN6 structure.

a b c (Å): 8.552 8.552 7.534
angles (deg): 102.52 102.52 25.41
Atoms (fractional coordinates):
Ac 0.165 0.165 0.327
Ac 0.835 0.835 0.673
La 0.157 0.157 0.833
La 0.500 0.500 0.500
La 0.843 0.843 0.167
Sm 0.500 0.500 0.000
N 0.002 0.002 0.757
N 0.342 0.342 0.413
N 0.347 0.347 0.930
N 0.653 0.653 0.070
N 0.658 0.658 0.587
N 0.998 0.998 0.243

Properties
Crystal system: monoclinic


Density functional theory data (GGA-PBE) for a geometry-optimized AcLa3Sm2N6 structure.

a b c (Å): 6.464 6.464 6.439
angles (deg): 99.54 99.54 120.04
Atoms (fractional coordinates):
Ac 0.000 0.000 0.000
La 0.170 0.830 0.500
La 0.500 0.500 0.500
La 0.830 0.170 0.500
Sm 0.334 0.666 0.000
Sm 0.666 0.334 0.000
N 0.083 0.430 0.248
N 0.267 0.267 0.755
N 0.430 0.083 0.248
N 0.570 0.917 0.752
N 0.733 0.733 0.245
N 0.917 0.570 0.752

Properties
Crystal system: monoclinic


Density functional theory data (GGA-PBE) for a geometry-optimized AcLaSmN3 structure.

a b c (Å): 6.436 3.719 9.624
angles (deg): 90.00 101.49 90.00
Atoms (fractional coordinates):
Ac 0.231 0.250 0.453
Ac 0.769 0.750 0.547
La 0.357 0.750 0.812
La 0.643 0.250 0.188
Sm 0.150 0.750 0.136
Sm 0.850 0.250 0.864
N 0.023 0.250 0.656
N 0.248 0.250 0.014
N 0.473 0.750 0.306
N 0.527 0.250 0.694
N 0.752 0.750 0.986
N 0.977 0.750 0.344

Properties
Crystal system: monoclinic


Density functional theory data (GGA-PBE) for a geometry-optimized AcLa2SnN structure.

a b c (Å): 5.131 5.131 5.295
angles (deg): 90.00 90.00 90.00
Atoms (fractional coordinates):
Ac 0.000 0.000 0.000
La 0.000 0.500 0.500
La 0.500 0.000 0.500
Sn 0.500 0.500 0.000
N 0.000 0.000 0.500

Properties
Crystal system: tetragonal


Density functional theory data (GGA-PBE) for a geometry-optimized Ac2LaSnN4 structure.

a b c (Å): 6.509 6.509 13.032
angles (deg): 90.00 90.00 145.62
Atoms (fractional coordinates):
Ac 0.129 0.871 0.542
Ac 0.129 0.871 0.958
Ac 0.871 0.129 0.042
Ac 0.871 0.129 0.458
La 0.392 0.608 0.750
La 0.608 0.392 0.250
Sn 0.340 0.660 0.250
Sn 0.660 0.340 0.750
N 0.069 0.931 0.750
N 0.221 0.779 0.133
N 0.221 0.779 0.367
N 0.500 0.500 0.000
N 0.500 0.500 0.500
N 0.779 0.221 0.633
N 0.779 0.221 0.867
N 0.931 0.069 0.250

Properties
Crystal system: orthorhombic


Density functional theory data (GGA-PBE) for a geometry-optimized Ac2LaSnN structure.

a b c (Å): 5.320 5.320 5.134
angles (deg): 90.00 90.00 90.00
Atoms (fractional coordinates):
Ac 0.000 0.500 0.000
Ac 0.500 0.000 0.000
La 0.000 0.000 0.500
Sn 0.500 0.500 0.500
N 0.000 0.000 0.000

Properties
Crystal system: tetragonal


Density functional theory data (GGA-PBE) for a geometry-optimized Ac3LaSn2N structure.

a b c (Å): 9.558 9.558 9.558
angles (deg): 149.37 148.64 44.41
Atoms (fractional coordinates):
Ac 0.000 0.000 0.000
Ac 0.331 0.831 0.500
Ac 0.669 0.169 0.500
La 0.500 0.500 0.000
Sn 0.138 0.638 0.500
Sn 0.862 0.362 0.500
N 0.500 0.000 0.500

Properties
Crystal system: orthorhombic


Density functional theory data (GGA-PBE) for a geometry-optimized Ac2La3TaN6 structure.

a b c (Å): 6.421 6.421 6.226
angles (deg): 99.47 99.47 120.54
Atoms (fractional coordinates):
Ac 0.168 0.832 0.000
Ac 0.832 0.168 0.000
La 0.000 0.000 0.500
La 0.342 0.658 0.500
La 0.658 0.342 0.500
Ta 0.500 0.500 0.000
N 0.150 0.424 0.780
N 0.292 0.292 0.232
N 0.424 0.150 0.780
N 0.576 0.850 0.220
N 0.708 0.708 0.768
N 0.850 0.576 0.220

Properties
Crystal system: monoclinic


Density functional theory data (GGA-PBE) for a geometry-optimized AcLaTaN4 structure.

a b c (Å): 7.091 7.091 5.815
angles (deg): 90.00 90.00 131.45
Atoms (fractional coordinates):
Ac 0.106 0.894 0.750
Ac 0.894 0.106 0.250
La 0.394 0.606 0.750
La 0.606 0.394 0.250
Ta 0.252 0.748 0.250
Ta 0.748 0.252 0.750
N 0.000 0.500 0.000
N 0.000 0.500 0.500
N 0.088 0.912 0.250
N 0.418 0.582 0.250
N 0.500 0.000 0.000
N 0.500 0.000 0.500
N 0.582 0.418 0.750
N 0.912 0.088 0.750

Properties
Crystal system: orthorhombic


Density functional theory data (GGA-PBE) for a geometry-optimized Ac3La4TaN8 structure.

a b c (Å): 7.391 7.391 7.391
angles (deg): 60.39 60.39 60.39
Atoms (fractional coordinates):
Ac 0.000 0.500 0.500
Ac 0.500 0.000 0.500
Ac 0.500 0.500 0.000
La 0.000 0.000 0.500
La 0.000 0.500 0.000
La 0.500 0.000 0.000
La 0.500 0.500 0.500
Ta 0.000 0.000 0.000
N 0.211 0.784 0.784
N 0.216 0.216 0.789
N 0.216 0.789 0.216
N 0.245 0.245 0.245
N 0.755 0.755 0.755
N 0.784 0.211 0.784
N 0.784 0.784 0.211
N 0.789 0.216 0.216

Properties
Crystal system: trigonal


Density functional theory data (GGA-PBE) for a geometry-optimized Ac2LaTcN4 structure.

a b c (Å): 6.638 6.638 12.803
angles (deg): 90.00 90.00 148.24
Atoms (fractional coordinates):
Ac 0.132 0.868 0.541
Ac 0.132 0.868 0.959
Ac 0.868 0.132 0.041
Ac 0.868 0.132 0.459
La 0.374 0.626 0.750
La 0.626 0.374 0.250
Tc 0.343 0.657 0.250
Tc 0.657 0.343 0.750
N 0.093 0.907 0.750
N 0.224 0.776 0.144
N 0.224 0.776 0.356
N 0.500 0.500 0.000
N 0.500 0.500 0.500
N 0.776 0.224 0.644
N 0.776 0.224 0.856
N 0.907 0.093 0.250

Properties
Crystal system: orthorhombic


Density functional theory data (GGA-PBE) for a geometry-optimized Ac2LaTcN5 structure.

a b c (Å): 7.785 7.785 7.785
angles (deg): 125.62 125.62 80.52
Atoms (fractional coordinates):
Ac 0.176 0.676 0.852
Ac 0.324 0.176 0.500
Ac 0.676 0.824 0.500
Ac 0.824 0.324 0.148
La 0.250 0.250 0.000
La 0.750 0.750 0.000
Tc 0.250 0.750 0.500
Tc 0.750 0.250 0.500
N 0.000 0.000 0.000
N 0.009 0.800 0.500
N 0.200 0.700 0.209
N 0.300 0.509 0.500
N 0.491 0.991 0.791
N 0.500 0.500 0.000
N 0.509 0.009 0.209
N 0.700 0.491 0.500
N 0.800 0.300 0.791
N 0.991 0.200 0.500

Properties
Crystal system: tetragonal


Density functional theory data (GGA-PBE) for a geometry-optimized AcLaTcN4 structure.

a b c (Å): 6.113 5.869 7.214
angles (deg): 90.00 108.93 90.00
Atoms (fractional coordinates):
Ac 0.221 0.250 0.434
Ac 0.779 0.750 0.566
La 0.301 0.250 0.960
La 0.699 0.750 0.040
Tc 0.243 0.750 0.188
Tc 0.757 0.250 0.812
N 0.059 0.750 0.349
N 0.073 0.750 0.928
N 0.451 0.507 0.243
N 0.451 0.993 0.243
N 0.549 0.007 0.757
N 0.549 0.493 0.757
N 0.927 0.250 0.072
N 0.941 0.250 0.651

Properties
Crystal system: monoclinic


Density functional theory data (GGA-PBE) for a geometry-optimized Ac2LaTc2N6 structure.

a b c (Å): 7.198 7.198 7.198
angles (deg): 48.80 48.80 48.80
Atoms (fractional coordinates):
Ac 0.212 0.212 0.212
Ac 0.788 0.788 0.788
La 0.000 0.000 0.000
Tc 0.406 0.406 0.406
Tc 0.594 0.594 0.594
N 0.232 0.738 0.738
N 0.262 0.262 0.768
N 0.262 0.768 0.262
N 0.738 0.232 0.738
N 0.738 0.738 0.232
N 0.768 0.262 0.262

Properties
Crystal system: trigonal


Density functional theory data (GGA-PBE) for a geometry-optimized AcLaTc2N5 structure.

a b c (Å): 3.997 3.997 7.661
angles (deg): 90.00 90.00 90.00
Atoms (fractional coordinates):
Ac 0.000 0.000 0.000
La 0.000 0.000 0.500
Tc 0.500 0.500 0.256
Tc 0.500 0.500 0.744
N 0.000 0.500 0.279
N 0.000 0.500 0.721
N 0.500 0.000 0.279
N 0.500 0.000 0.721
N 0.500 0.500 0.000

Properties
Crystal system: tetragonal


What are the total DFT energy (no corrections) values for these records? In order: -53.348 -64.931 -123.466 -117.814 -62.051 -92.559 -93.943 -91.632 -30.959 -111.658 -29.759 -39.391 -99.042 -124.670 -128.394 -125.695 -146.397 -116.982 -91.457 -77.932 eV for the cell shown.
What are the density values for these records? In order: 7.26 7.39 7.25 7.53 7.89 7.96 7.77 8.21 7.60 8.18 8.29 7.71 9.04 9.13 8.82 8.35 8.40 7.05 7.48 8.57 g cm⁻³.